1.
First-principles (GGA-PBE) data for a relaxed Co3SnIr crystal, as listed in Alexandria via LeMat-Bulk.

a b c (Å): 4.589 4.589 4.589
angles (deg): 90.00 90.00 90.00
Site moments in Bohr magnetons follow the coordinates.
Atoms (fractional coordinates):
Ir  0.000  0.000  0.000  0.70
Co  0.000  0.500  0.000  1.87
Co  0.000  0.000  0.500  2.45
Co  0.500  0.000  0.000  1.29
Sn  0.500  0.500  0.500  -0.03

Calculated values
- E_form: 1.10 eV per atom
- M_tot: 1.2572 μB/atom
- Crystal system: cubic
- ΔE to the lowest computed polymorph: 0 meV/atom



2.
First-principles (GGA-PBE) data for a relaxed NaPm2Dy crystal, as listed in Alexandria via LeMat-Bulk.

a b c (Å): 3.554 3.554 12.996
angles (deg): 82.14 82.14 60.00
Atoms (fractional coordinates):
Na  0.000  0.000  0.000
Pm  0.092  0.092  0.724
Pm  0.908  0.908  0.276
Dy  0.500  0.500  0.500

Calculated values
- E_form: 0.13 eV per atom
- M_tot: 0.0000 μB/atom
- Crystal system: trigonal
- ΔE to the lowest computed polymorph: 31 meV/atom



3.
First-principles (GGA-PBE) data for a relaxed CdFe2Se crystal, as listed in Alexandria via LeMat-Bulk.

a b c (Å): 5.094 5.094 5.094
angles (deg): 135.36 135.36 64.97
Site moments in Bohr magnetons follow the coordinates.
Atoms (fractional coordinates):
Cd  0.750  0.250  0.500  -0.05
Fe  0.000  0.000  0.000  2.79
Fe  0.250  0.750  0.500  2.73
Se  0.500  0.500  0.000  0.07

Calculated values
- M_tot: 1.3924 μB/atom
- E_tot: -19.7 eV/cell
- Crystal system: tetragonal



4.
First-principles (GGA-PBE) data for a relaxed CeEuNiRu crystal, as listed in Alexandria via LeMat-Bulk.

a b c (Å): 4.875 4.875 4.875
angles (deg): 60.00 60.00 60.00
Site moments in Bohr magnetons follow the coordinates.
Atoms (fractional coordinates):
Eu  0.250  0.250  0.250  6.69
Ru  0.000  0.000  0.000  -0.25
Ce  0.750  0.750  0.750  0.15
Ni  0.500  0.500  0.500  -0.12

Calculated values
- E_form: -0.10 eV per atom
- M_tot: 1.6772 μB/atom
- Crystal system: cubic



5.
First-principles (GGA-PBE) data for a relaxed Hf2Al2S crystal, as listed in Alexandria via LeMat-Bulk.

a b c (Å): 6.701 6.701 4.341
angles (deg): 90.00 90.00 90.00
Atoms (fractional coordinates):
S  0.000  0.000  0.000
S  0.500  0.500  0.000
Hf  0.332  0.832  0.000
Hf  0.832  0.668  0.000
Hf  0.668  0.168  0.000
Hf  0.168  0.332  0.000
Al  0.137  0.637  0.500
Al  0.637  0.863  0.500
Al  0.863  0.363  0.500
Al  0.363  0.137  0.500

Calculated values
- M_tot: 0.0000 μB/atom
- Crystal system: tetragonal
- ΔE to the lowest computed polymorph: 0 meV/atom



6.
First-principles (GGA-PBE) data for a relaxed Li2CrRe crystal, as listed in Alexandria via LeMat-Bulk.

a b c (Å): 4.516 4.516 4.516
angles (deg): 137.25 122.20 74.50
Site moments in Bohr magnetons follow the coordinates.
Atoms (fractional coordinates):
Cr  0.254  0.754  0.500  1.31
Li  0.987  0.987  0.000  0.01
Li  0.767  0.267  0.500  0.00
Re  0.492  0.492  0.000  -0.46

Calculated values
- E_form: 0.50 eV per atom
- M_tot: 0.2458 μB/atom
- Crystal system: orthorhombic
- ΔE to the lowest computed polymorph: 248 meV/atom